1.
CaAcTe2: relaxed, PBE.

Cell: 8.6027 8.6027 8.6027 Å, 30.19 30.19 30.19°
Positions (direct):
Ca: 0.0000 0.0000 0.0000
Ac: 0.8284 0.8284 0.8284
Te: 0.2502 0.2502 0.2502
Te: 0.4088 0.4088 0.4088

Output
symmetry = No. 160
magnetization = 0.00 Bohr magnetons per cell
DOS at the Fermi energy = 0.6429 states/eV per atom
formation energy (no corrections) = -5.9 eV per formula unit

2.
Y2GaPb: relaxed, PBE.

Cell: 6.0857 4.2027 8.7648 Å, 90.00 107.93 90.00°
Positions (direct):
Y: 0.1912 0.2500 0.4246
Y: 0.2748 0.7500 0.0604
Y: 0.7252 0.2500 0.9396
Y: 0.8088 0.7500 0.5754
Ga: 0.1152 0.2500 0.7926
Ga: 0.8848 0.7500 0.2074
Pb: 0.3834 0.7500 0.7099
Pb: 0.6166 0.2500 0.2901

Output
calculated formation energy = -57.63 kJ/mol of atoms
symmetry = No. 11
magnetization = 0.00 Bohr magnetons per cell
DOS at the Fermi energy = 0.7876 states/eV per atom

3.
Zr3ScCd: relaxed, PBE.

Cell: 5.2559 5.2559 5.2559 Å, 90.00 90.00 90.00°
Positions (direct):
Zr: 0.0000 0.0000 0.5000
Zr: 0.0000 0.5000 0.0000
Zr: 0.5000 0.0000 0.0000
Sc: 0.5000 0.5000 0.5000
Cd: 0.0000 0.0000 0.0000

Output
calculated formation energy = 97.50 kJ/mol of atoms
symmetry = No. 221
magnetization = 0.00 Bohr magnetons per cell
DOS at the Fermi energy = 2.5332 states/eV per atom

4.
Li2Ca4Cd: relaxed, PBE.

Cell: 9.2158 9.2158 9.2158 Å, 34.82 34.82 34.82°
Positions (direct):
Li: 0.2413 0.2413 0.2413
Li: 0.7587 0.7587 0.7587
Ca: 0.1200 0.1200 0.1200
Ca: 0.3727 0.3727 0.3727
Ca: 0.6273 0.6273 0.6273
Ca: 0.8800 0.8800 0.8800
Cd: 0.5000 0.5000 0.5000

Output
calculated formation energy = -2.10 kJ/mol of atoms
symmetry = No. 166
magnetization = 0.00 Bohr magnetons per cell
DOS at the Fermi energy = 1.2016 states/eV per atom

| no. | volume (Å³ per atom) |
| --- | --- |
| 1 | 35.7 |
| 2 | 26.7 |
| 3 | 29.0 |
| 4 | 32.5 |